# GGA-PBE Pm6Nd12Mg, relaxed
# E_form: 0.113 eV per atom
data_Pm6Nd12Mg
_symmetry_space_group_name_H-M 'P 1'
_symmetry_Int_Tables_number 1
_cell_length_a 8.730
_cell_length_b 8.730
_cell_length_c 8.730
_cell_angle_alpha 88.85
_cell_angle_beta 88.85
_cell_angle_gamma 88.85
loop_
_symmetry_equiv_pos_as_xyz
'x,y,z'
loop_
_atom_site_label
_atom_site_fract_x
_atom_site_fract_y
_atom_site_fract_z
_atom_site_occupancy
Mg1 0.000 0.000 0.000 1
Nd1 0.017 0.183 0.363 1
Nd2 0.363 0.017 0.183 1
Pm1 0.707 0.261 0.098 1
Nd3 0.433 0.783 0.536 1
Nd4 0.637 0.983 0.817 1
Pm2 0.902 0.293 0.739 1
Nd5 0.464 0.567 0.217 1
Pm3 0.098 0.707 0.261 1
Pm4 0.293 0.739 0.902 1
Nd6 0.567 0.217 0.464 1
Nd7 0.183 0.363 0.017 1
Nd8 0.217 0.464 0.567 1
Nd9 0.536 0.433 0.783 1
Pm5 0.739 0.902 0.293 1
Nd10 0.817 0.637 0.983 1
Nd11 0.983 0.817 0.637 1
Nd12 0.783 0.536 0.433 1
Pm6 0.261 0.098 0.707 1



# GGA-PBE LiYTm2Cd4, relaxed
# E_form: -0.278 eV per atom
data_LiYTm2Cd4
_symmetry_space_group_name_H-M 'P 1'
_symmetry_Int_Tables_number 1
_cell_length_a 5.158
_cell_length_b 5.158
_cell_length_c 8.978
_cell_angle_alpha 73.31
_cell_angle_beta 73.31
_cell_angle_gamma 60.00
loop_
_symmetry_equiv_pos_as_xyz
'x,y,z'
loop_
_atom_site_label
_atom_site_fract_x
_atom_site_fract_y
_atom_site_fract_z
_atom_site_occupancy
Tm1 0.249 0.249 0.254 1
Y1 0.000 0.000 0.000 1
Li1 0.500 0.500 0.500 1
Cd1 0.873 0.873 0.381 1
Cd2 0.380 0.380 0.859 1
Cd3 0.620 0.620 0.141 1
Cd4 0.127 0.127 0.619 1
Tm2 0.751 0.751 0.746 1



# GGA-PBE Zr3SiO, relaxed
# Formation energy (no corrections): -1.11 eV/atom
data_Zr3SiO
_symmetry_space_group_name_H-M 'P 1'
_symmetry_Int_Tables_number 1
_cell_length_a 4.412
_cell_length_b 4.412
_cell_length_c 4.412
_cell_angle_alpha 90.00
_cell_angle_beta 90.00
_cell_angle_gamma 90.00
loop_
_symmetry_equiv_pos_as_xyz
'x,y,z'
loop_
_atom_site_label
_atom_site_fract_x
_atom_site_fract_y
_atom_site_fract_z
_atom_site_occupancy
Si1 0.500 0.500 0.500 1
Zr1 0.000 0.500 0.000 1
Zr2 0.000 0.000 0.500 1
O1 0.000 0.000 0.000 1
Zr3 0.500 0.000 0.000 1



# GGA-PBE Zn2Cu2B, relaxed
# E_form: 0.450 eV per atom
data_Zn2Cu2B
_symmetry_space_group_name_H-M 'P 1'
_symmetry_Int_Tables_number 1
_cell_length_a 5.614
_cell_length_b 5.614
_cell_length_c 3.996
_cell_angle_alpha 90.00
_cell_angle_beta 90.00
_cell_angle_gamma 90.00
loop_
_symmetry_equiv_pos_as_xyz
'x,y,z'
loop_
_atom_site_label
_atom_site_fract_x
_atom_site_fract_y
_atom_site_fract_z
_atom_site_occupancy
B1 0.000 0.000 0.000 1
Cu1 0.844 0.344 0.500 1
Zn1 0.162 0.338 0.000 1
Cu2 0.656 0.844 0.500 1
Zn2 0.662 0.162 0.000 1
B2 0.500 0.500 0.000 1
Cu3 0.344 0.156 0.500 1
Zn3 0.838 0.662 0.000 1
Zn4 0.338 0.838 0.000 1
Cu4 0.156 0.656 0.500 1



# GGA-PBE ReGe3S, relaxed
# Formation energy (no corrections): 0.39 eV/atom
data_ReGe3S
_symmetry_space_group_name_H-M 'P 1'
_symmetry_Int_Tables_number 1
_cell_length_a 4.822
_cell_length_b 4.822
_cell_length_c 4.822
_cell_angle_alpha 90.00
_cell_angle_beta 90.00
_cell_angle_gamma 90.00
loop_
_symmetry_equiv_pos_as_xyz
'x,y,z'
loop_
_atom_site_label
_atom_site_fract_x
_atom_site_fract_y
_atom_site_fract_z
_atom_site_occupancy
Re1 0.000 0.000 0.000 1
Ge1 0.500 0.000 0.000 1
S1 0.500 0.500 0.500 1
Ge2 0.000 0.500 0.000 1
Ge3 0.000 0.000 0.500 1



# GGA-PBE AgMo2Ru, relaxed
# E_form: 0.404 eV per atom
data_AgMo2Ru
_symmetry_space_group_name_H-M 'P 1'
_symmetry_Int_Tables_number 1
_cell_length_a 4.860
_cell_length_b 4.860
_cell_length_c 4.921
_cell_angle_alpha 79.98
_cell_angle_beta 79.98
_cell_angle_gamma 33.44
loop_
_symmetry_equiv_pos_as_xyz
'x,y,z'
loop_
_atom_site_label
_atom_site_fract_x
_atom_site_fract_y
_atom_site_fract_z
_atom_site_occupancy
Mo1 0.755 0.755 0.734 1
Ru1 0.493 0.493 0.523 1
Mo2 0.004 0.004 0.996 1
Ag1 0.248 0.248 0.247 1



| no. | volume (Å³/atom) |
| --- | --- |
| 1 | 34.99 |
| 2 | 24.39 |
| 3 | 17.18 |
| 4 | 12.60 |
| 5 | 22.42 |
| 6 | 15.75 |